LiPmY2Tl4 | PBE | optimized geometry

SG ... R-3m, No. 166
Formation energy from the elements ... -2.78 eV per formula unit
N(E_F) ... 4.33 states/eV/cell

Cell: 5.2706 5.2706 9.4182 Å, 73.75 73.75 60.00°
Positions (direct):
Tl 0.8723 0.8723 0.3831
Pm 0.0000 0.0000 0.0000
Tl 0.3781 0.3781 0.8658
Tl 0.6219 0.6219 0.1342
Tl 0.1277 0.1277 0.6169
Y 0.2450 0.2450 0.2649
Y 0.7550 0.7550 0.7351
Li 0.5000 0.5000 0.5000

LaTlOs2 | PBE | optimized geometry

SG ... P4mm, No. 99
Formation energy from the elements ... 1.14 eV per formula unit
Relative energy among the computed polymorphs ... 0.015 eV per atom
N(E_F) ... 1.45 states/eV/cell

Cell: 3.0106 3.0106 8.9255 Å, 90.00 90.00 90.00°
Positions (direct):
La 0.5000 0.5000 0.7782
Os 0.5000 0.5000 0.2157
Tl 0.0000 0.0000 0.4611
Os 0.0000 0.0000 0.0449

LaTa3P | PBE | optimized geometry

SG ... Pm-3m, No. 221
Formation energy from the elements ... 1.25 eV per formula unit
Relative energy among the computed polymorphs ... 0.000 eV per atom
N(E_F) ... 6.19 states/eV/cell

Cell: 4.7768 4.7768 4.7768 Å, 90.00 90.00 90.00°
Positions (direct):
Ta 0.0000 0.5000 0.0000
P 0.0000 0.0000 0.0000
La 0.5000 0.5000 0.5000
Ta 0.0000 0.0000 0.5000
Ta 0.5000 0.0000 0.0000

Pr4GaTe2Cl | PBE | optimized geometry

Formation energy without anion corrections ... -1.252 eV/atom
SG ... P2/m, No. 10
N(E_F) ... 4.41 states/eV/cell

Cell: 4.3929 7.5383 7.7614 Å, 109.07 90.00 90.00°
Positions (direct):
Te 0.0000 0.5000 0.5000
Te 0.5000 0.0000 0.5000
Pr 0.0000 0.2634 0.7720
Cl 0.0000 0.0000 0.0000
Pr 0.0000 0.7366 0.2280
Pr 0.5000 0.7444 0.7690
Ga 0.5000 0.5000 0.0000
Pr 0.5000 0.2556 0.2310

TlZn2Br6 | PBE | optimized geometry

Formation energy without anion corrections ... -0.734 eV/atom
SG ... C2/c, No. 15
N(E_F) ... 6.14 states/eV/cell

Cell: 7.2445 9.4056 9.4056 Å, 84.37 78.95 78.95°
Positions (direct):
Zn 0.2604 0.2185 0.3712
Br 0.3491 0.0457 0.1830
Br 0.6509 0.9543 0.8170
Br 0.9627 0.5666 0.7026
Zn 0.7396 0.7815 0.6288
Tl 0.2500 0.1435 0.8565
Br 0.8491 0.1830 0.0457
Br 0.6059 0.5939 0.1009
Br 0.3941 0.4061 0.8991
Br 0.1509 0.8170 0.9543
Zn 0.7604 0.3712 0.2185
Br 0.4627 0.7026 0.5666
Zn 0.2396 0.6288 0.7815
Br 0.8941 0.8991 0.4061
Br 0.0373 0.4334 0.2974
Br 0.1059 0.1009 0.5939
Br 0.5373 0.2974 0.4334
Tl 0.7500 0.8565 0.1435

InCuNi2B | PBE | optimized geometry

SG ... P4/mmm, No. 123
Formation energy from the elements ... -0.26 eV per formula unit
N(E_F) ... 2.28 states/eV/cell

Cell: 3.8755 3.8755 3.9477 Å, 90.00 90.00 90.00°
Positions (direct):
Cu 0.0000 0.0000 0.5000
B 0.0000 0.0000 0.0000
In 0.5000 0.5000 0.5000
Ni 0.0000 0.5000 0.0000
Ni 0.5000 0.0000 0.0000

Ho5SiS4 | PBE | optimized geometry

Formation energy without anion corrections ... -1.782 eV/atom
SG ... I4/m, No. 87
N(E_F) ... 4.16 states/eV/cell

Cell: 5.5519 6.8246 6.8246 Å, 80.48 66.00 66.00°
Positions (direct):
Ho 0.9021 0.3966 0.8012
Ho 0.7033 0.1988 0.3966
S 0.4009 0.4020 0.7982
Si 0.0011 0.0000 0.0000
S 0.6011 0.5980 0.2018
S 0.1991 0.2018 0.4020
Ho 0.0999 0.6034 0.1988
Ho 0.5011 0.0000 0.0000
S 0.8029 0.7982 0.5980
Ho 0.2987 0.8012 0.6034

MnNi8Pt6 | PBE | optimized geometry

SG ... R-3, No. 148
Formation energy from the elements ... 1.30 eV per formula unit
N(E_F) ... 19.57 states/eV/cell

Cell: 7.1509 7.1509 6.2879 Å, 55.35 55.35 60.00°
Positions (direct):
Pt 0.4012 0.6895 0.0641
Ni 0.5333 0.1788 0.4374
Ni 0.1495 0.4667 0.5626
Pt 0.6895 0.8452 0.0641
Ni 0.4667 0.8212 0.5626
Pt 0.5988 0.3105 0.9359
Ni 0.8505 0.5333 0.4374
Ni 0.7939 0.7939 0.6183
Mn 0.0000 0.0000 0.0000
Pt 0.3105 0.1548 0.9359
Ni 0.2061 0.2061 0.3817
Pt 0.1548 0.5988 0.9359
Ni 0.1788 0.8505 0.4374
Pt 0.8452 0.4012 0.0641
Ni 0.8212 0.1495 0.5626

Ni2IrS | PBE | optimized geometry

Formation energy without anion corrections ... 0.371 eV/atom
SG ... R-3m, No. 166
N(E_F) ... 6.26 states/eV/cell

Cell: 2.7200 2.7200 8.4347 Å, 80.72 80.72 60.00°
Positions (direct):
Ni 0.0998 0.0998 0.7007
S 0.5000 0.5000 0.5000
Ir 0.0000 0.0000 0.0000
Ni 0.9002 0.9002 0.2993

Pr3Te2 | PBE | optimized geometry

Formation energy without anion corrections ... -1.068 eV/atom
SG ... R-3m, No. 166
Relative energy among the computed polymorphs ... 0.089 eV per atom
N(E_F) ... 3.76 states/eV/cell

Cell: 4.2963 4.2963 11.2462 Å, 78.99 78.99 60.00°
Positions (direct):
Te 0.6059 0.6059 0.1823
Te 0.3941 0.3941 0.8177
Pr 0.0000 0.0000 0.0000
Pr 0.7890 0.7890 0.6331
Pr 0.2110 0.2110 0.3669

La2ScIr | PBE | optimized geometry

SG ... C2/m, No. 12
Formation energy from the elements ... 0.08 eV per formula unit
Relative energy among the computed polymorphs ... 0.406 eV per atom
N(E_F) ... 5.19 states/eV/cell

Cell: 5.9316 5.9316 3.3547 Å, 77.62 77.62 116.65°
Positions (direct):
La 0.0000 0.0000 0.0000
Ir 0.0000 0.5000 0.5000
Sc 0.5000 0.0000 0.5000
La 0.5000 0.5000 0.0000

NaAlH4 | PBE | optimized geometry

SG ... I4_1/a, No. 88
E_tot ... -38.82 eV/cell
N(E_F) ... 0.00 states/eV/cell

Cell: 6.4690 6.4690 6.4690 Å, 135.24 135.24 65.16°
Positions (direct):
H 0.4358 0.3461 0.6172
H 0.0961 0.9789 0.4103
Na 0.7500 0.2500 0.5000
Al 0.2500 0.7500 0.5000
Na 0.0000 0.0000 0.0000
H 0.3142 0.9039 0.8828
H 0.1814 0.5642 0.9103
Al 0.5000 0.5000 0.0000
H 0.6539 0.2711 0.0897
H 0.5686 0.6858 0.5897
H 0.0211 0.4314 0.1172
H 0.7289 0.8186 0.3828

YSiCl2 | PBE | optimized geometry

Formation energy without anion corrections ... -0.788 eV/atom
SG ... R-3m, No. 166
Relative energy among the computed polymorphs ... 0.258 eV per atom
N(E_F) ... 1.50 states/eV/cell

Cell: 9.5325 9.5325 9.5325 Å, 20.81 20.81 20.81°
Positions (direct):
Cl 0.9021 0.9021 0.9021
Y 0.5000 0.5000 0.5000
Cl 0.0979 0.0979 0.0979
Si 0.0000 0.0000 0.0000

CdCuSe2O8 | PBE | optimized geometry

Formation energy without anion corrections ... -0.557 eV/atom
SG ... I-4m2, No. 119
N(E_F) ... 6.78 states/eV/cell

Cell: 6.0493 6.0493 6.0493 Å, 104.42 104.42 120.12°
Positions (direct):
O 0.7533 0.0759 0.6774
Se 0.7500 0.2500 0.5000
O 0.9241 0.6014 0.6774
O 0.3154 0.1450 0.8296
O 0.5142 0.6846 0.8296
Cu 0.0000 0.0000 0.0000
Se 0.5000 0.5000 0.0000
O 0.3986 0.0759 0.3226
O 0.9241 0.2467 0.3226
O 0.3154 0.4858 0.1704
Cd 0.2500 0.7500 0.5000
O 0.8550 0.6846 0.1704

Ac2PPb | PBE | optimized geometry

SG ... R-3m, No. 166
Formation energy from the elements ... -3.79 eV per formula unit
Relative energy among the computed polymorphs ... 0.000 eV per atom
N(E_F) ... 1.90 states/eV/cell

Cell: 4.3980 4.3980 8.8048 Å, 75.54 75.54 60.00°
Positions (direct):
Ac 0.7367 0.7367 0.7899
Pb 0.5000 0.5000 0.5000
Ac 0.2633 0.2633 0.2101
P 0.0000 0.0000 0.0000

Ca3YAl8 | PBE | optimized geometry

SG ... P3m1, No. 156
Formation energy from the elements ... -4.36 eV per formula unit
Relative energy among the computed polymorphs ... 0.013 eV per atom
N(E_F) ... 6.29 states/eV/cell

Cell: 5.6521 5.6521 9.1640 Å, 90.00 90.00 120.00°
Positions (direct):
Ca 0.0000 0.0000 0.9344
Ca 0.6667 0.3333 0.4325
Al 0.5036 0.0073 0.7465
Al 0.1623 0.8377 0.2529
Al 0.9927 0.4964 0.7465
Al 0.5036 0.4964 0.7465
Al 0.3333 0.6667 0.5004
Al 0.3333 0.6667 0.0007
Y 0.0000 0.0000 0.5678
Al 0.1623 0.3245 0.2529
Ca 0.6667 0.3333 0.0662
Al 0.6755 0.8377 0.2529

TlCuHgSe2 | PBE | optimized geometry

Formation energy without anion corrections ... -0.198 eV/atom
SG ... P2/c, No. 13

Cell: 5.3018 7.1597 7.7346 Å, 102.41 90.00 90.00°
Positions (direct):
Hg 0.4475 0.0000 0.2500
Se 0.2909 0.2389 0.0374
Se 0.7091 0.7611 0.9626
Se 0.2909 0.7611 0.4626
Cu 0.0000 0.0000 0.5000
Cu 0.0000 0.0000 0.0000
Se 0.7091 0.2389 0.5374
Tl 0.1606 0.5000 0.7500
Tl 0.8394 0.5000 0.2500
Hg 0.5525 0.0000 0.7500

LiScPbO4 | PBE | optimized geometry

Formation energy without anion corrections ... -2.028 eV/atom
SG ... Imma, No. 74

Cell: 6.3364 6.4470 6.4470 Å, 61.31 60.57 60.57°
Positions (direct):
O 0.7518 0.7608 0.2608
O 0.7585 0.7728 0.7101
O 0.2415 0.7899 0.7272
O 0.2482 0.2392 0.7392
Li 0.6313 0.6187 0.1187
O 0.2415 0.2272 0.2899
Li 0.3687 0.3813 0.8813
O 0.7733 0.2392 0.7392
Sc 0.0000 0.0000 0.5000
O 0.2267 0.7608 0.2608
Pb 0.0000 0.5000 0.5000
O 0.7585 0.2101 0.2728
Pb 0.0000 0.0000 0.0000
Sc 0.5000 0.0000 0.5000

CrAgHgS2 | PBE | optimized geometry

Formation energy without anion corrections ... 0.246 eV/atom
SG ... P4/mmm, No. 123
N(E_F) ... 5.31 states/eV/cell

Cell: 4.3647 5.4658 4.3647 Å, 90.00 90.00 90.00°
Positions (direct):
Hg 0.0000 0.5000 0.0000
Ag 0.5000 0.5000 0.5000
S 0.0000 0.0000 0.5000
Cr 0.0000 0.0000 0.0000
S 0.5000 0.0000 0.0000

NdThSi2 | PBE | optimized geometry

Formation energy without anion corrections ... -0.718 eV/atom
SG ... Pmc2_1, No. 26
Relative energy among the computed polymorphs ... 0.000 eV per atom
N(E_F) ... 5.52 states/eV/cell

Cell: 3.9813 5.9233 8.1832 Å, 90.00 90.00 90.00°
Positions (direct):
Si 0.5000 0.8723 0.4635
Nd 0.0000 0.1321 0.6802
Nd 0.0000 0.8679 0.1802
Th 0.5000 0.6305 0.8197
Si 0.0000 0.6262 0.5366
Th 0.5000 0.3695 0.3197
Si 0.0000 0.3738 0.0366
Si 0.5000 0.1277 0.9635